The following is a DFT calculation (PBE) of an optimized crystal structure of K2CdSbS4.

Computed properties:
space group: I-4, No. 82
size of the total moment: 1.0 μB per cell

Cell lengths 6.9477, 6.9477, 6.9477 Å; angles 116.05, 116.05, 96.99 degrees
Positions (direct):
K  0.0000  0.0000  0.0000
K  0.7500  0.2500  0.5000
Cd  0.2500  0.7500  0.5000
Sb  0.5000  0.5000  0.0000
S  0.1886  0.1283  0.5822
S  0.3936  0.8114  0.9396
S  0.5461  0.6064  0.4178
S  0.8717  0.4539  0.0604

***

The following is a DFT calculation (PBE) of an optimized crystal structure of KScCdS3.

Computed properties:
space group: P2_1/m, No. 11
size of the total moment: 0.0 μB per cell

Cell lengths 8.3990, 3.9563, 9.8245 Å; angles 90.00, 108.65, 90.00 degrees
Positions (direct):
K  0.2213  0.2500  0.2361
K  0.7787  0.7500  0.7639
Sc  0.3340  0.7500  0.8765
Sc  0.6660  0.2500  0.1235
Cd  0.0900  0.2500  0.6162
Cd  0.9100  0.7500  0.3838
S  0.1228  0.2500  0.8763
S  0.2379  0.7500  0.5481
S  0.4688  0.7500  0.1420
S  0.5312  0.2500  0.8580
S  0.7621  0.2500  0.4519
S  0.8772  0.7500  0.1237

***

The following is a DFT calculation (PBE) of an optimized crystal structure of K2CdSi2S6.

Computed properties:
space group: R-3m, No. 166
size of the total moment: 0.0 μB per cell

Cell lengths 8.5299, 8.5299, 8.5299 Å; angles 48.12, 48.12, 48.12 degrees
Positions (direct):
K  0.2172  0.2172  0.2172
K  0.7828  0.7828  0.7828
Cd  0.0000  0.0000  0.0000
Si  0.4114  0.4114  0.4114
Si  0.5886  0.5886  0.5886
S  0.2437  0.7517  0.7517
S  0.2483  0.2483  0.7563
S  0.2483  0.7563  0.2483
S  0.7517  0.2437  0.7517
S  0.7517  0.7517  0.2437
S  0.7563  0.2483  0.2483

***

The following is a DFT calculation (PBE) of an optimized crystal structure of KCd2SiS4.

Computed properties:
space group: Fmm2, No. 42
size of the total moment: 0.0 μB per cell

Cell lengths 6.5185, 6.3607, 6.9412 Å; angles 58.49, 56.30, 65.21 degrees
Positions (direct):
K  0.0000  0.0000  0.0000
Cd  0.2651  0.2651  0.2349
Cd  0.7651  0.7651  0.7349
Si  0.4955  0.4955  0.5045
S  0.1644  0.5381  0.8356
S  0.4499  0.8135  0.1865
S  0.5381  0.1644  0.4619
S  0.8135  0.4499  0.5501

***

Number 1: volume 31.2 A^3/atom, formation energy without anion corrections -0.68 eV/atom, VASP energy -3.643 eV per atom. Number 2: volume 25.8 A^3/atom, formation energy without anion corrections -1.30 eV/atom, VASP energy -4.751 eV per atom. Number 3: volume 28.7 A^3/atom, formation energy without anion corrections -0.71 eV/atom, VASP energy -4.227 eV per atom. Number 4: volume 25.1 A^3/atom, formation energy without anion corrections -0.67 eV/atom, VASP energy -3.777 eV per atom.